# 1
# PBE ErSi2Ru, relaxed
data_ErSi2Ru
_chemical_formula_sum 'Er4 Si8 Ru4'
_space_group_name_H-M_alt 'P n m a'
_space_group_IT_number 62
_space_group_name_Hall '-P 2ac 2n'
_cell_length_a 6.971
_cell_length_b 3.974
_cell_length_c 9.938
_cell_angle_alpha 90.00
_cell_angle_beta 90.00
_cell_angle_gamma 90.00
loop_
_atom_site_label
_atom_site_fract_x
_atom_site_fract_y
_atom_site_fract_z
Er1 0.151 0.250 0.127
Si1 0.148 0.250 0.818
Si2 0.201 0.250 0.427
Ru1 0.014 0.750 0.389
# Magnetic moment: 0.00 μB per cell
# Crystal system: orthorhombic
# Formation energy from raw total energies: -0.809 eV per atom

***

# 2
# PBE Ba2Be, relaxed
data_Ba2Be
_chemical_formula_sum 'Ba8 Be4'
_space_group_name_H-M_alt 'P n m a'
_space_group_IT_number 62
_space_group_name_Hall '-P 2ac 2n'
_cell_length_a 8.198
_cell_length_b 5.587
_cell_length_c 10.207
_cell_angle_alpha 90.00
_cell_angle_beta 90.00
_cell_angle_gamma 90.00
loop_
_atom_site_label
_atom_site_fract_x
_atom_site_fract_y
_atom_site_fract_z
Ba1 0.016 0.250 0.171
Ba2 0.146 0.250 0.581
Be1 0.245 0.250 0.898
# Energy relative to the elements: 418 meV per atom
# Magnetic moment: 0.00 μB per cell
# Crystal system: orthorhombic
# Energy above the most stable polymorph in this dataset: 60 meV per atom

***

# 3
# PBE LaMgH6Ir, relaxed
data_LaMgH6Ir
_chemical_formula_sum 'La1 Mg1 H6 Ir1'
_space_group_name_H-M_alt 'P -6 m 2'
_space_group_IT_number 187
_space_group_name_Hall 'P -6 2'
_cell_length_a 4.7320
_cell_length_b 4.7320
_cell_length_c 4.5950
_cell_angle_alpha 90.00
_cell_angle_beta 90.00
_cell_angle_gamma 120.00
loop_
_atom_site_label
_atom_site_fract_x
_atom_site_fract_y
_atom_site_fract_z
La1 0.0000 0.0000 0.0000
Mg1 0.6667 0.3333 0.5000
H1 0.0391 0.5195 0.2281
Ir1 0.3333 0.6667 0.5000
# E_tot: -4.33 eV/atom
# Magnetic moment: 0.00 μB per cell
# Crystal system: hexagonal

***

# 4
# PBE Mn2BePt, relaxed
data_Mn2BePt
_chemical_formula_sum 'Mn2 Be1 Pt1'
_space_group_name_H-M_alt 'P m m m'
_space_group_IT_number 47
_space_group_name_Hall '-P 2 2'
_cell_length_a 3.527
_cell_length_b 3.558
_cell_length_c 3.869
_cell_angle_alpha 90.00
_cell_angle_beta 90.00
_cell_angle_gamma 90.00
loop_
_atom_site_label
_atom_site_fract_x
_atom_site_fract_y
_atom_site_fract_z
Mn1 0.000 0.000 0.000
Mn2 0.500 0.500 0.000
Be1 0.000 0.500 0.500
Pt1 0.500 0.000 0.500
# Energy relative to the elements: -164 meV per atom
# Magnetic moment: 4.86 μB per cell
# Crystal system: orthorhombic

***

# 5
# PBE Ca3H5Cl, relaxed
data_Ca3H5Cl
_chemical_formula_sum 'Ca12 H20 Cl4'
_space_group_name_H-M_alt 'C m c m'
_space_group_IT_number 63
_space_group_name_Hall '-C 2c 2'
_cell_length_a 3.738
_cell_length_b 12.434
_cell_length_c 10.652
_cell_angle_alpha 90.00
_cell_angle_beta 90.00
_cell_angle_gamma 90.00
loop_
_atom_site_label
_atom_site_fract_x
_atom_site_fract_y
_atom_site_fract_z
Ca1 0.000 0.081 0.250
Ca2 0.000 0.375 0.043
H1 0.000 0.000 0.000
H2 0.000 0.193 0.069
H3 0.000 0.458 0.640
Cl1 0.000 0.155 0.750
# E_tot: -3.61 eV/atom
# Magnetic moment: 0.00 μB per cell
# Crystal system: orthorhombic

***

# 6
# PBE TaInRe2, relaxed
data_TaInRe2
_chemical_formula_sum 'Ta1 In1 Re2'
_space_group_name_H-M_alt 'P 4/m m m'
_space_group_IT_number 123
_space_group_name_Hall '-P 4 2'
_cell_length_a 4.503
_cell_length_b 4.503
_cell_length_c 3.322
_cell_angle_alpha 90.00
_cell_angle_beta 90.00
_cell_angle_gamma 90.00
loop_
_atom_site_label
_atom_site_fract_x
_atom_site_fract_y
_atom_site_fract_z
Ta1 0.000 0.000 0.000
In1 0.500 0.500 0.000
Re1 0.000 0.500 0.500
# Energy relative to the elements: 252 meV per atom
# Magnetic moment: 0.00 μB per cell
# Crystal system: tetragonal

***

# 7
# PBE Ba2TmTlSe4, relaxed
data_Ba2TmTlSe4
_chemical_formula_sum 'Ba2 Tm1 Tl1 Se4'
_space_group_name_H-M_alt 'P 1 2/m 1'
_space_group_IT_number 10
_space_group_name_Hall '-P 2y'
_cell_length_a 7.607
_cell_length_b 4.495
_cell_length_c 8.052
_cell_angle_alpha 90.00
_cell_angle_beta 109.07
_cell_angle_gamma 90.00
loop_
_atom_site_label
_atom_site_fract_x
_atom_site_fract_y
_atom_site_fract_z
Ba1 0.000 0.000 0.000
Ba2 0.000 0.500 0.500
Tm1 0.500 0.000 0.500
Tl1 0.500 0.500 0.000
Se1 0.275 0.000 0.723
Se2 0.281 0.500 0.281
# Magnetic moment: 0.00 μB per cell
# Crystal system: monoclinic
# Formation energy from raw total energies: -1.600 eV per atom